a | The following is a PBE with a Hubbard U calculation of crystalline ZrW3O at its relaxed geometry, from Alexandria.

crystal system: cubic
DOS at the Fermi energy: 2.18 states/eV/f.u.
magnetic moment: 0.618 μB per atom

Cell: 4.3332 4.3332 4.3332 Å, 90.00 90.00 90.00°
With the nearest neighbours (Å) after each atom.
Fractional positions:
W: 0.5000 0.0000 0.0000  2 O 2.17
W: 0.0000 0.0000 0.5000  2 O 2.17
W: 0.0000 0.5000 0.0000  2 O 2.17
Zr: 0.5000 0.5000 0.5000  12 W 3.06
O: 0.0000 0.0000 0.0000  6 W 2.17

***

b | The following is a PBE with a Hubbard U calculation of crystalline ZrW3O at its relaxed geometry, from Alexandria.

crystal system: cubic
DOS at the Fermi energy: 5.96 states/eV/f.u.
magnetic moment: 1.974 μB per atom

Cell: 5.3533 5.3533 5.3533 Å, 90.00 90.00 90.00°
With the nearest neighbours (Å) after each atom.
Fractional positions:
O: 0.5000 0.5000 0.5000  12 W 3.79
W: 0.0000 0.0000 0.5000  2 Zr 2.68
W: 0.0000 0.5000 0.0000  2 Zr 2.68
W: 0.5000 0.0000 0.0000  2 Zr 2.68
Zr: 0.0000 0.0000 0.0000  6 W 2.68

***

Least stable = b